No. 1
Below is crystalline TcB3Ru at its relaxed geometry, with properties calculated at the PBE level.

Cell and atoms, written as CIF:
```
data_TcB3Ru
_chemical_formula_sum 'Tc1 B3 Ru1'
_space_group_name_H-M_alt 'P m -3 m'
_space_group_IT_number 221
_space_group_name_Hall '-P 4 2 3'
_cell_length_a 3.9880
_cell_length_b 3.9880
_cell_length_c 3.9880
_cell_angle_alpha 90.00
_cell_angle_beta 90.00
_cell_angle_gamma 90.00
loop_
_atom_site_label
_atom_site_type_symbol
_atom_site_fract_x
_atom_site_fract_y
_atom_site_fract_z
_atom_site_occupancy
Tc1 Tc 0.0000 0.0000 0.0000 1
B1 B 0.0000 0.0000 0.5000 1
Ru1 Ru 0.5000 0.5000 0.5000 1
```

- Total DFT energy (no corrections): -6.58 eV per atom
- Total magnetic moment: 2.0 μB per cell



No. 2
Below is crystalline Li5NdCd7 at its relaxed geometry, with properties calculated at the PBE level.

Cell and atoms, written as CIF:
```
data_Li5NdCd7
_chemical_formula_sum 'Li10 Nd2 Cd14'
_space_group_name_H-M_alt 'I m m 2'
_space_group_IT_number 44
_cell_length_a 5.2797
_cell_length_b 10.0096
_cell_length_c 10.0143
_cell_angle_alpha 90.00
_cell_angle_beta 90.00
_cell_angle_gamma 90.00
loop_
_space_group_symop_operation_xyz
'x,y,z'
'-x,-y,z'
'-x,y,z'
'x,-y,z'
'x+1/2,y+1/2,z+1/2'
'-x+1/2,-y+1/2,z+1/2'
'-x+1/2,y+1/2,z+1/2'
'x+1/2,-y+1/2,z+1/2'
loop_
_atom_site_label
_atom_site_type_symbol
_atom_site_fract_x
_atom_site_fract_y
_atom_site_fract_z
_atom_site_occupancy
Li1 Li 0.0000 0.0000 0.0000 1
Li2 Li 0.2484 0.2498 0.4729 1
Nd1 Nd 0.0000 0.5000 0.7254 1
Cd1 Cd 0.0000 0.0000 0.4370 1
Cd2 Cd 0.0000 0.1497 0.7270 1
Cd3 Cd 0.0000 0.2059 0.2171 1
Cd4 Cd 0.0000 0.5000 0.0746 1
Cd5 Cd 0.0000 0.5000 0.3805 1
```

- Total DFT energy (no corrections): -1.83 eV per atom
- Total magnetic moment: 0.0 μB per cell



No. 3
Below is crystalline TbZn2 at its relaxed geometry, with properties calculated at the PBE level.

Cell and atoms, written as CIF:
```
data_TbZn2
_chemical_formula_sum 'Tb2 Zn4'
_space_group_name_H-M_alt 'I 4/m m m'
_space_group_IT_number 139
_space_group_name_Hall '-I 4 2'
_cell_length_a 3.2766
_cell_length_b 3.2766
_cell_length_c 11.1913
_cell_angle_alpha 90.00
_cell_angle_beta 90.00
_cell_angle_gamma 90.00
loop_
_atom_site_label
_atom_site_type_symbol
_atom_site_fract_x
_atom_site_fract_y
_atom_site_fract_z
_atom_site_occupancy
Tb1 Tb 0.0000 0.0000 0.0000 1
Zn1 Zn 0.0000 0.0000 0.3148 1
```

- Total DFT energy (no corrections): -2.59 eV per atom
- Total magnetic moment: 0.0 μB per cell



No. 4
Below is crystalline Be3VI at its relaxed geometry, with properties calculated at the PBE level.

Cell and atoms, written as CIF:
```
data_Be3VI
_chemical_formula_sum 'Be3 V1 I1'
_space_group_name_H-M_alt 'P m -3 m'
_space_group_IT_number 221
_space_group_name_Hall '-P 4 2 3'
_cell_length_a 4.6758
_cell_length_b 4.6758
_cell_length_c 4.6758
_cell_angle_alpha 90.00
_cell_angle_beta 90.00
_cell_angle_gamma 90.00
loop_
_atom_site_label
_atom_site_type_symbol
_atom_site_fract_x
_atom_site_fract_y
_atom_site_fract_z
_atom_site_occupancy
Be1 Be 0.0000 0.0000 0.5000 1
V1 V 0.5000 0.5000 0.5000 1
I1 I 0.0000 0.0000 0.0000 1
```

- Formation energy from raw total energies: 1971 meV per atom
- Total DFT energy (no corrections): -2.40 eV per atom
- Total magnetic moment: 3.4 μB per cell



No. 5
Below is crystalline Ce8Te4P3Br at its relaxed geometry, with properties calculated at the PBE level.

Cell and atoms, written as CIF:
```
data_Ce8Te4P3Br
_chemical_formula_sum 'Ce24 Te12 P9 Br3'
_space_group_name_H-M_alt 'R -3 m'
_space_group_IT_number 166
_space_group_name_Hall '-R 3 2"'
_cell_length_a 8.5117
_cell_length_b 8.5117
_cell_length_c 21.6118
_cell_angle_alpha 90.00
_cell_angle_beta 90.00
_cell_angle_gamma 120.00
loop_
_atom_site_label
_atom_site_type_symbol
_atom_site_fract_x
_atom_site_fract_y
_atom_site_fract_z
_atom_site_occupancy
Ce1 Ce 0.0000 0.0000 0.2378 1
Ce2 Ce 0.0131 0.5066 0.7604 1
Te1 Te 0.0000 0.0000 0.0000 1
Te2 Te 0.0000 0.5000 0.0000 1
P1 P 0.0000 0.5000 0.5000 1
Br1 Br 0.0000 0.0000 0.5000 1
```

- Formation energy from raw total energies: -1418 meV per atom
- Total DFT energy (no corrections): -6.29 eV per atom
- Total magnetic moment: 22.0 μB per cell



No. 6
Below is crystalline SrZnP at its relaxed geometry, with properties calculated at the PBE level.

Cell and atoms, written as CIF:
```
data_SrZnP
_chemical_formula_sum 'Sr4 Zn4 P4'
_space_group_name_H-M_alt 'F -4 3 m'
_space_group_IT_number 216
_space_group_name_Hall 'F -4 2 3'
_cell_length_a 6.8749
_cell_length_b 6.8749
_cell_length_c 6.8749
_cell_angle_alpha 90.00
_cell_angle_beta 90.00
_cell_angle_gamma 90.00
loop_
_atom_site_label
_atom_site_type_symbol
_atom_site_fract_x
_atom_site_fract_y
_atom_site_fract_z
_atom_site_occupancy
Sr1 Sr 0.0000 0.0000 0.0000 1
Zn1 Zn 0.0000 0.0000 0.5000 1
P1 P 0.2500 0.2500 0.7500 1
```

- Total DFT energy (no corrections): -3.14 eV per atom
- Total magnetic moment: 0.0 μB per cell



Which of these has the highest total magnetic moment?
Ce8Te4P3Br



What is the total DFT energy (no corrections) in the first record?
-6.58 eV per atom



Which formula does entry 1 have?
TcB3Ru



Copy entry 1 word for word.
Below is crystalline TcB3Ru at its relaxed geometry, with properties calculated at the PBE level.

Cell and atoms, written as CIF:
```
data_TcB3Ru
_chemical_formula_sum 'Tc1 B3 Ru1'
_space_group_name_H-M_alt 'P m -3 m'
_space_group_IT_number 221
_space_group_name_Hall '-P 4 2 3'
_cell_length_a 3.9880
_cell_length_b 3.9880
_cell_length_c 3.9880
_cell_angle_alpha 90.00
_cell_angle_beta 90.00
_cell_angle_gamma 90.00
loop_
_atom_site_label
_atom_site_type_symbol
_atom_site_fract_x
_atom_site_fract_y
_atom_site_fract_z
_atom_site_occupancy
Tc1 Tc 0.0000 0.0000 0.0000 1
B1 B 0.0000 0.0000 0.5000 1
Ru1 Ru 0.5000 0.5000 0.5000 1
```

- Total DFT energy (no corrections): -6.58 eV per atom
- Total magnetic moment: 2.0 μB per cell